## Ta2FeBi2 (GGA-PBE)

Data for a geometry-optimized Ta2FeBi2 structure.

Structure (POSCAR):
```
Ta2FeBi2
1.0
-1.458 1.779 2.901
-3.267 0.151 -1.735
-4.540 -6.453 4.039
Ta Bi Fe
2 2 1
direct
0.750 0.250 0.500 Ta
0.250 0.750 0.500 Ta
0.598 0.598 0.804 Bi
0.402 0.402 0.196 Bi
0.000 0.000 0.000 Fe
```

Properties
The space group is I4/mmm, No. 139. As for the volume: 23.2 Å³/atom. For the energy above the most stable polymorph in this dataset, the calculation gives 206 meV per atom. The calculated total energy is -34.435 eV per cell. As for the density of states at the Fermi level: 9.2 states/eV per cell. As for the formation energy: 1.10 eV/atom.

## TaFe2Bi (GGA-PBE)

Data for a geometry-optimized TaFe2Bi structure.

Structure (POSCAR):
```
TaFe2Bi
1.0
-2.611 -6.686 -0.746
-0.611 -0.561 7.168
-4.224 -2.587 3.070
Ta Fe Bi
2 4 2
direct
0.250 0.750 0.500 Ta
0.500 0.500 0.000 Ta
0.598 0.125 0.250 Fe
0.875 0.848 0.750 Fe
0.375 0.402 0.750 Fe
0.152 0.625 0.250 Fe
0.750 0.250 0.500 Bi
0.000 0.000 0.000 Bi
```

Properties
The space group is I-42d, No. 122. As for the volume: 18.3 Å³/atom. The calculated total energy is -58.903 eV per cell. As for the density of states at the Fermi level: 9.5 states/eV per cell. As for the formation energy: 0.80 eV/atom.

## TaFe2Bi2 (GGA-PBE)

Data for a geometry-optimized TaFe2Bi2 structure.

Structure (POSCAR):
```
TaFe2Bi2
1.0
-0.110 -2.389 2.615
3.535 -0.239 -0.069
2.213 4.549 6.650
Bi Ta Fe
2 1 2
direct
0.390 0.390 0.219 Bi
0.610 0.610 0.781 Bi
0.000 0.000 0.000 Ta
0.750 0.250 0.500 Fe
0.250 0.750 0.500 Fe
```

Properties
The space group is I4/mmm, No. 139. As for the volume: 20.0 Å³/atom. The calculated total energy is -33.320 eV per cell. As for the density of states at the Fermi level: 3.0 states/eV per cell. As for the formation energy: 0.64 eV/atom.

## TaFeBi2 (GGA-PBE)

Data for a geometry-optimized TaFeBi2 structure.

Structure (POSCAR):
```
TaFeBi2
1.0
-4.087 -2.342 -6.146
-3.912 -4.952 4.488
-6.020 -1.556 -0.282
Fe Bi Ta
2 4 2
direct
0.250 0.750 0.500 Fe
0.500 0.500 0.000 Fe
0.175 0.625 0.250 Bi
0.875 0.825 0.750 Bi
0.575 0.125 0.250 Bi
0.375 0.425 0.750 Bi
0.750 0.250 0.500 Ta
0.000 0.000 0.000 Ta
```

Properties
The space group is I-42d, No. 122. As for the volume: 22.2 Å³/atom. For the energy above the most stable polymorph in this dataset, the calculation gives 235 meV per atom. The calculated total energy is -47.585 eV per cell. As for the density of states at the Fermi level: 12.9 states/eV per cell. As for the formation energy: 1.07 eV/atom.

## Ta3FeBi (GGA-PBE)

Data for a geometry-optimized Ta3FeBi structure.

Structure (POSCAR):
```
Ta3FeBi
1.0
4.670 0.000 0.000
0.000 4.670 0.000
0.000 0.000 4.670
Ta Bi Fe
3 1 1
direct
0.000 0.000 0.500 Ta
0.000 0.500 0.000 Ta
0.500 0.000 0.000 Ta
0.500 0.500 0.500 Bi
0.000 0.000 0.000 Fe
```

Properties
The space group is Pm-3m, No. 221. As for the volume: 20.4 Å³/atom. For the energy above the most stable polymorph in this dataset, the calculation gives 0 meV per atom. The calculated total energy is -44.592 eV per cell. As for the density of states at the Fermi level: 4.7 states/eV per cell. As for the formation energy: 0.66 eV/atom.

## TaFeBi3 (GGA-PBE)

Data for a geometry-optimized TaFeBi3 structure.

Structure (POSCAR):
```
TaFeBi3
1.0
-2.986 -3.173 2.534
3.899 -3.117 0.691
1.132 2.370 4.301
Bi Fe Ta
3 1 1
direct
0.000 0.500 0.000 Bi
0.000 0.000 0.500 Bi
0.500 0.000 0.000 Bi
0.000 0.000 0.000 Fe
0.500 0.500 0.500 Ta
```

Properties
The space group is Pm-3m, No. 221. As for the volume: 25.6 Å³/atom. The calculated total energy is -25.960 eV per cell. As for the density of states at the Fermi level: 7.2 states/eV per cell. As for the formation energy: 1.20 eV/atom.

## TaFeBi2 (GGA-PBE)

Data for a geometry-optimized TaFeBi2 structure.

Structure (POSCAR):
```
TaFeBi2
1.0
-0.488 -4.374 2.088
-4.377 -2.129 0.199
-0.930 -3.917 -2.742
Ta Bi Fe
1 2 1
direct
0.500 0.500 0.500 Ta
0.250 0.250 0.250 Bi
0.750 0.750 0.750 Bi
0.000 0.000 0.000 Fe
```

Properties
The space group is Fm-3m, No. 225. As for the volume: 20.4 Å³/atom. For the energy above the most stable polymorph in this dataset, the calculation gives 0 meV per atom. The calculated total energy is -24.731 eV per cell. As for the density of states at the Fermi level: 7.1 states/eV per cell. As for the formation energy: 0.84 eV/atom.

## Ta3FeBi (GGA-PBE)

Data for a geometry-optimized Ta3FeBi structure.

Structure (POSCAR):
```
Ta3FeBi
1.0
5.074 0.000 0.000
0.000 5.074 0.000
0.000 0.000 5.074
Ta Bi Fe
3 1 1
direct
0.000 0.500 0.000 Ta
0.000 0.000 0.500 Ta
0.500 0.000 0.000 Ta
0.000 0.000 0.000 Bi
0.500 0.500 0.500 Fe
```

Properties
The space group is Pm-3m, No. 221. As for the volume: 26.1 Å³/atom. For the energy above the most stable polymorph in this dataset, the calculation gives 2236 meV per atom. The calculated total energy is -33.413 eV per cell. As for the density of states at the Fermi level: 11.4 states/eV per cell. As for the formation energy: 2.90 eV/atom.

## Ta2FeBi2 (GGA-PBE)

Data for a geometry-optimized Ta2FeBi2 structure.

Structure (POSCAR):
```
Ta2FeBi2
1.0
-3.177 -1.957 6.767
6.855 -2.567 2.476
0.767 3.321 1.320
Bi Ta Fe
4 4 2
direct
0.335 0.835 0.000 Bi
0.665 0.165 0.000 Bi
0.165 0.335 0.000 Bi
0.835 0.665 0.000 Bi
0.629 0.871 0.500 Ta
0.129 0.629 0.500 Ta
0.371 0.129 0.500 Ta
0.871 0.371 0.500 Ta
0.500 0.500 0.000 Fe
0.000 0.000 0.000 Fe
```

Properties
The space group is P4/mbm, No. 127. As for the volume: 21.8 Å³/atom. For the energy above the most stable polymorph in this dataset, the calculation gives 0 meV per atom. The calculated total energy is -70.932 eV per cell. As for the density of states at the Fermi level: 10.5 states/eV per cell. As for the formation energy: 0.89 eV/atom.

## Tb8FeBi2 (GGA-PBE)

Data for a geometry-optimized Tb8FeBi2 structure.

Structure (POSCAR):
```
Tb8FeBi2
1.0
4.597 0.000 0.000
0.000 7.242 0.679
-2.298 -2.114 9.495
Tb Bi Fe
8 2 1
direct
0.593 0.514 0.186 Tb
0.002 0.780 0.003 Tb
0.407 0.486 0.814 Tb
0.215 0.341 0.429 Tb
0.371 0.961 0.741 Tb
0.785 0.659 0.571 Tb
0.998 0.220 0.997 Tb
0.629 0.039 0.259 Tb
0.183 0.781 0.365 Bi
0.817 0.219 0.635 Bi
0.500 0.000 0.000 Fe
```

Properties
The space group is C2/m, No. 12. As for the volume: 29.3 Å³/atom. The calculated total energy is -56.104 eV per cell. As for the density of states at the Fermi level: 11.3 states/eV per cell. As for the formation energy: -0.26 eV/atom.

## Tb3Fe3Bi (GGA-PBE)

Data for a geometry-optimized Tb3Fe3Bi structure.

Structure (POSCAR):
```
Tb3Fe3Bi
1.0
4.219 0.000 0.000
0.000 8.103 -4.678
0.000 0.000 9.356
Bi Tb Fe
2 6 6
direct
0.250 0.667 0.333 Bi
0.750 0.333 0.667 Bi
0.250 0.316 0.924 Tb
0.750 0.392 0.316 Tb
0.750 0.924 0.608 Tb
0.250 0.608 0.684 Tb
0.750 0.684 0.076 Tb
0.250 0.076 0.392 Tb
0.250 0.864 0.019 Fe
0.750 0.136 0.981 Fe
0.250 0.981 0.845 Fe
0.750 0.019 0.155 Fe
0.250 0.155 0.136 Fe
0.750 0.845 0.864 Fe
```

Properties
The space group is P6_3/m, No. 176. As for the volume: 22.8 Å³/atom. The calculated total energy is -89.427 eV per cell. As for the density of states at the Fermi level: 14.2 states/eV per cell. As for the formation energy: -0.22 eV/atom.

## Tb12FeBi6 (GGA-PBE)

Data for a geometry-optimized Tb12FeBi6 structure.

Structure (POSCAR):
```
Tb12FeBi6
1.0
-3.705 4.179 -6.620
-7.107 -2.723 4.134
2.059 6.769 4.995
Bi Tb Fe
6 12 1
direct
0.682 0.883 0.349 Bi
0.883 0.349 0.682 Bi
0.117 0.651 0.318 Bi
0.349 0.682 0.883 Bi
0.318 0.117 0.651 Bi
0.651 0.318 0.117 Bi
0.946 0.001 0.697 Tb
0.303 0.054 0.999 Tb
0.001 0.697 0.946 Tb
0.799 0.586 0.458 Tb
0.586 0.458 0.799 Tb
0.458 0.799 0.586 Tb
0.054 0.999 0.303 Tb
0.201 0.414 0.542 Tb
0.697 0.946 0.001 Tb
0.542 0.201 0.414 Tb
0.999 0.303 0.054 Tb
0.414 0.542 0.201 Tb
0.000 0.000 0.000 Fe
```

Properties
The space group is R-3, No. 148. As for the volume: 32.6 Å³/atom. The calculated total energy is -95.486 eV per cell. As for the density of states at the Fermi level: 13.6 states/eV per cell. As for the formation energy: -0.43 eV/atom.

Q: Look up the volume of the second one.
A: 18.3 Å³/atom